Entry from the Alexandria database: a relaxed structure of LaNiAs2O8 (PBE+U).

Computed properties:
E: -6.12 eV/atom
SG: I-4m2
Magnetization: 3.0 Bohr magnetons per cell

Unit cell a=6.0357 b=6.0357 c=6.0357 alpha=105.58 beta=105.58 gamma=117.56
Closest atoms and distances in Å follow each position.
Atoms (fractional coordinates):
La  0.0000  0.0000  0.0000  8 O 2.44-2.46
Ni  0.7500  0.2500  0.5000  8 O 2.29-2.35
As  0.2500  0.7500  0.5000  4 O 1.72
As  0.5000  0.5000  0.0000  4 O 1.73
O  0.0584  0.3890  0.3307  1 As 1.72
O  0.0584  0.7277  0.6693  1 As 1.72
O  0.1426  0.3284  0.8142  1 As 1.73
O  0.2723  0.9416  0.3307  1 As 1.72
O  0.5143  0.3284  0.1858  1 As 1.73
O  0.6110  0.9416  0.6693  1 As 1.72
O  0.6716  0.4857  0.8142  1 As 1.73
O  0.6716  0.8574  0.1858  1 As 1.73